Material: BaCoP2C
Method: DFT, PBE-GGA
State: relaxed

## Properties
Energy of formation = 5.80 eV/f.u.
Space group = P4/mmm
DOS(E_F) = 1.173 states/eV/atom
E = -4.654 eV per atom

abc: 4.090 4.090 5.381
angles: 90.00 90.00 90.00
Fractional positions:
1 Ba 0.000 0.000 0.000
2 Co 0.500 0.500 0.000
3 P 0.000 0.500 0.500
4 P 0.500 0.000 0.500
5 C 0.000 0.000 0.500